Entry 1:
A plane-wave DFT calculation with meta-GGA SCAN was carried out for LiCd2Pb at its PBEsol-relaxed geometry.

Calculated values
Total magnetic moment: 0.00 μB per cell
SG: P4mm (99)
Energy relative to the elements: -138 meV per atom

Cell and atoms, written as POSCAR:
```
LiCd2Pb
1.0
-2.416 2.576 0.716
-2.555 -2.509 0.405
1.475 -0.442 6.573
Pb Li Cd
1 1 2
Cartesian
-1.401 -0.292 5.392
0.701 -0.210 3.126
0.040 -0.012 0.178
-2.099 -0.082 2.284
```

***

Entry 2:
A plane-wave DFT calculation with meta-GGA SCAN was carried out for CaLaIn2 at its PBEsol-relaxed geometry.

Calculated values
Total magnetic moment: 0.00 μB per cell
SG: Pmm2 (25)
Energy relative to the elements: -316 meV per atom

Cell and atoms, written as POSCAR:
```
CaLaIn2
1.0
3.653 0.000 0.000
0.000 4.825 0.000
0.000 0.000 6.704
Ca In La
1 2 1
Cartesian
1.826 2.412 5.288
0.000 0.000 6.588
1.826 2.412 1.753
0.000 0.000 3.131
```

***

Entry 3:
A plane-wave DFT calculation with meta-GGA SCAN was carried out for Sm2O at its PBEsol-relaxed geometry.

Calculated values
Total magnetic moment: 0.26 μB per cell
SG: P4/mmm (123)
Formation energy from raw total energies: -2.007 eV/atom

Cell and atoms, written as POSCAR:
```
Sm2O
1.0
3.487 0.000 0.000
0.000 3.487 0.000
0.000 0.000 4.917
O Sm
1 2
Cartesian
0.000 0.000 0.000
0.000 0.000 2.459
1.744 1.744 0.000
```

***

Entry 4:
A plane-wave DFT calculation with meta-GGA SCAN was carried out for LaBr2 at its PBEsol-relaxed geometry.

Calculated values
Total magnetic moment: 0.00 μB per cell
SG: I4/mcm (140)
Formation energy from raw total energies: -1.976 eV/atom

Cell and atoms, written as POSCAR:
```
LaBr2
1.0
-0.423 4.506 4.026
-4.743 0.359 -3.751
0.000 -5.345 2.851
Br La
4 2
Cartesian
-1.858 3.069 2.492
-3.308 -3.549 0.634
-0.995 -1.171 2.028
-4.172 0.692 1.098
-3.875 3.649 0.206
-1.292 1.216 0.069
```

***

Entry 5:
A plane-wave DFT calculation with meta-GGA SCAN was carried out for Al2AuBr at its PBEsol-relaxed geometry.

Calculated values
Total magnetic moment: 0.00 μB per cell
SG: F-43m (216)
Formation energy from raw total energies: 0.417 eV/atom

Cell and atoms, written as POSCAR:
```
Al2AuBr
1.0
4.866 0.000 0.000
2.433 4.214 0.000
2.433 1.405 3.973
Au Al Br
1 2 1
Cartesian
4.866 2.810 1.987
0.000 0.000 0.000
7.299 4.214 2.980
2.433 1.405 0.993
```

***

Entry 6:
A plane-wave DFT calculation with meta-GGA SCAN was carried out for CoTePb2 at its PBEsol-relaxed geometry.

Calculated values
Total magnetic moment: 0.00 μB per cell
SG: Cm (8)
Formation energy from raw total energies: 0.204 eV/atom

Cell and atoms, written as POSCAR:
```
CoTePb2
1.0
-3.080 1.265 -0.786
-3.501 -2.053 2.967
-1.650 3.810 5.150
Co Pb Te
1 2 1
Cartesian
-5.826 3.049 5.398
-5.122 1.428 7.474
-2.180 0.495 1.892
-4.370 1.318 4.350
```